# YMn2Os (PBE, optimized geometry)
# DFT formation energy   349 meV per atom
# M_tot   6.93 μB per cell
# Relative energy among the computed polymorphs   197.3 meV/atom
# Space group   No. 225
data_YMn2Os
_space_group_name_H-M_alt 'P 1'
_space_group_IT_number 1
_cell_length_a 4.576
_cell_length_b 4.576
_cell_length_c 4.576
_cell_angle_alpha 60.00
_cell_angle_beta 60.00
_cell_angle_gamma 60.00
loop_
_space_group_symop_operation_xyz
'x,y,z'
loop_
_atom_site_label
_atom_site_fract_x
_atom_site_fract_y
_atom_site_fract_z
Os1 0.500 0.500 0.500
Mn1 0.750 0.750 0.750
Mn2 0.250 0.250 0.250
Y1 0.000 0.000 0.000